DFT (PBE) results for a relaxed structure of BaLa2POs.

Properties
E_tot   -19.029 eV per cell
Mass density   6.2 Mg/m³
Space-group type   P4/mmm, No. 123
V   171 Å³ per cell

Structure (extended XYZ):
```
5
Lattice="-5.097 1.906 2.172 -2.095 -0.495 -4.482 -1.502 -5.510 1.310" Properties=species:S:1:pos:R:3 pbc="T T T"
P -1.047 -0.247 -2.241
Os -4.347 -2.049 -0.500
Ba 0.000 0.000 0.000
La -0.751 -2.755 0.655
La -2.549 0.953 1.086
```